1.
Compound: CsLi2WCl8
Source: the Alexandria database
Functional: PBE-GGA
Structure: optimized geometry

a b c (Å): 6.451 6.458 9.474
angles (deg): 83.96 83.82 69.71
Sites, in units of the cell vectors:
Cs  0.000  0.000  0.000
Li  0.497  0.496  0.840
Li  0.503  0.504  0.160
W  0.000  0.000  0.500
Cl  0.190  0.732  0.677
Cl  0.210  0.213  0.527
Cl  0.269  0.812  0.322
Cl  0.335  0.336  0.029
Cl  0.665  0.664  0.971
Cl  0.731  0.188  0.678
Cl  0.790  0.787  0.473
Cl  0.810  0.268  0.323

Spin magnetization = 0.084 μB per atom
Crystal system = triclinic
Formation energy from raw total energies = -15.6 eV per formula unit
VASP energy = -4.002 eV per atom



2.
Compound: CsLiY2Cl8
Source: the Alexandria database
Functional: PBE-GGA
Structure: optimized geometry

a b c (Å): 6.847 8.441 6.983
angles (deg): 90.00 98.72 90.00
Sites, in units of the cell vectors:
Cs  0.000  0.000  0.000
Li  0.000  0.500  0.000
Y  0.500  0.263  0.500
Y  0.500  0.737  0.500
Cl  0.250  0.299  0.182
Cl  0.250  0.701  0.182
Cl  0.298  0.500  0.639
Cl  0.310  0.000  0.622
Cl  0.690  0.000  0.378
Cl  0.702  0.500  0.361
Cl  0.750  0.299  0.818
Cl  0.750  0.701  0.818

Spin magnetization = 0.000 μB per atom
Crystal system = monoclinic
Formation energy from raw total energies = -25.2 eV per formula unit
VASP energy = -4.637 eV per atom